# NaGaC

A relaxed NaGaC crystal (PBE, Alexandria via LeMat-Bulk).

Unit cell a=11.859 b=4.319 c=5.165 alpha=90.00 beta=112.97 gamma=90.00
Space group C2/m (No. 12)
Symmetry-distinct sites (fractional):
Na1 0.116 0.000 0.378
Ga1 0.199 0.500 0.959
C1 0.049 0.500 0.609

Results
Total DFT energy (no corrections)   -4.32 eV/atom
Density of states at the Fermi level   0.0989 states/eV/atom
E_form   0.207 eV/atom

=====

# NaGaC

A relaxed NaGaC crystal (PBE, Alexandria via LeMat-Bulk).

Unit cell a=4.803 b=3.540 c=6.196 alpha=90.00 beta=103.14 gamma=90.00
Space group P2_1/m (No. 11)
Symmetry-distinct sites (fractional):
Na1 0.224 0.250 0.404
Ga1 0.317 0.250 0.899
C1 0.330 0.750 0.768

Results
Total DFT energy (no corrections)   -3.90 eV/atom
Density of states at the Fermi level   0.0000 states/eV/atom
E_form   0.619 eV/atom

=====

# NaGaC

A relaxed NaGaC crystal (PBE, Alexandria via LeMat-Bulk).

Unit cell a=7.863 b=4.484 c=6.755 alpha=90.00 beta=113.96 gamma=90.00
Space group C2/m (No. 12)
Symmetry-distinct sites (fractional):
Na1 0.206 0.000 0.123
Ga1 0.144 0.500 0.438
C1 0.030 0.500 0.104

Results
Total DFT energy (no corrections)   -4.24 eV/atom
Density of states at the Fermi level   0.1739 states/eV/atom
E_form   0.284 eV/atom

=====

# NaGaC

A relaxed NaGaC crystal (PBE, Alexandria via LeMat-Bulk).

Unit cell a=4.271 b=4.668 c=6.492 alpha=108.99 beta=108.42 gamma=92.67
Space group P1 (No. 1)
Symmetry-distinct sites (fractional):
Na1 0.000 0.000 0.000
Na2 0.364 0.396 0.761
Ga1 0.289 0.672 0.346
Ga2 0.689 0.243 0.363
C1 0.822 0.974 0.554
C2 0.949 0.732 0.583

Results
Total DFT energy (no corrections)   -4.09 eV/atom
Density of states at the Fermi level   0.0131 states/eV/atom
E_form   0.434 eV/atom